First-principles (PBE-GGA) data for crystalline TaTe2RhO at its relaxed geometry, as listed in Alexandria.

POSCAR file:
```
TaTe2RhO
1.0
5.313 0.000 0.000
0.000 5.313 0.000
0.000 0.000 4.742
Ta Te Rh O
1 2 1 1
Direct
0.000 0.000 0.000
0.000 0.500 0.000
0.500 0.000 0.000
0.000 0.000 0.500
0.500 0.500 0.500
```

* space group: P4/mmm, No. 123
* raw total energy: -24.93 eV/cell
* E_form (uncorrected): 5.52 eV per formula unit

First-principles (PBE-GGA) data for crystalline CdFeIr2 at its relaxed geometry, as listed in Alexandria.

POSCAR file:
```
CdFeIr2
1.0
2.799 0.000 0.000
-1.399 2.424 0.000
0.000 0.000 26.878
Cd Fe Ir
3 3 6
Direct
0.000 0.000 0.000
0.333 0.667 0.667
0.667 0.333 0.333
0.000 0.000 0.500
0.333 0.667 0.167
0.667 0.333 0.833
0.000 0.000 0.241
0.000 0.000 0.759
0.333 0.667 0.425
0.333 0.667 0.908
0.667 0.333 0.092
0.667 0.333 0.575
```

* space group: R-3m, No. 166
* raw total energy: -80.18 eV/cell

First-principles (PBE-GGA) data for crystalline TaPbAu4 at its relaxed geometry, as listed in Alexandria.

POSCAR file:
```
TaPbAu4
1.0
0.000 3.939 3.939
3.939 0.000 3.939
3.939 3.939 0.000
Ta Pb Au
1 1 4
Direct
0.000 0.000 0.000
0.250 0.250 0.250
0.124 0.625 0.625
0.625 0.124 0.625
0.625 0.625 0.124
0.625 0.625 0.625
```

* space group: F-43m, No. 216
* raw total energy: -26.16 eV/cell

First-principles (PBE-GGA) data for crystalline HoPaBi2O6 at its relaxed geometry, as listed in Alexandria.

POSCAR file:
```
HoPaBi2O6
1.0
5.242 -2.955 0.000
5.242 2.955 0.000
-3.724 0.000 5.074
Ho Pa Bi O
1 1 2 6
Direct
0.000 0.000 0.000
0.500 0.500 0.500
0.239 0.239 0.759
0.761 0.761 0.241
0.171 0.665 0.169
0.257 0.257 0.372
0.335 0.829 0.831
0.665 0.171 0.169
0.743 0.743 0.628
0.829 0.335 0.831
```

* space group: C2/m, No. 12
* raw total energy: -74.78 eV/cell
* E_form (uncorrected): -23.19 eV per formula unit